# MnBIrRu, relaxed, DFT PBE-GGA
# DOS(E_F), states/eV/cell: 8.06
# E_form, kcal/mol of atoms: 1.8
data_MnBIrRu
_symmetry_space_group_name_H-M 'F -4 3 m'
_symmetry_Int_Tables_number 216
_symmetry_space_group_name_Hall 'F -4 2 3'
_cell_length_a 5.7445
_cell_length_b 5.7445
_cell_length_c 5.7445
_cell_angle_alpha 90.00
_cell_angle_beta 90.00
_cell_angle_gamma 90.00
loop_
_atom_site_label
_atom_site_fract_x
_atom_site_fract_y
_atom_site_fract_z
Mn1 0.0000 0.0000 0.0000
B1 0.0000 0.0000 0.5000
Ir1 0.2500 0.2500 0.7500
Ru1 0.2500 0.2500 0.2500